VASP calculation (PBEsol) on an optimized crystal structure of Ta2SiPb.

Crystal system   orthorhombic
Offset from the most stable computed form   0.00 kJ/mol of atoms
Space-group type   Immm, No. 71
Calculated density   13.7 g/cm³
N(E_F)   1.8 states/eV/cell
Total magnetic moment   0.000 μB per atom
ΔE_f (raw)   0.195 eV per atom

abc: 3.6291 4.9053 5.0832
angles: 118.85 110.91 90.00
Positions (direct):
Ta  0.7838  0.7838  0.5676
Ta  0.2162  0.2162  0.4324
Si  0.5000  0.0000  0.0000
Pb  0.0000  0.5000  0.0000